MgAlCd2 at its PBEsol-relaxed geometry. Source: Alexandria, functional SCAN.

Total DFT energy (no corrections)   -18.36 eV/atom
SG   Pm, No. 6
E_form   0.028 eV/atom
Crystal system   monoclinic

Cell: 3.103 4.702 5.673 Å, 90.00 102.03 90.00°
Atoms (fractional coordinates):
Al 0.055 0.500 0.731
Cd 0.180 0.000 0.009
Cd 0.778 0.500 0.224
Mg 0.487 0.000 0.536

***

TaCl3 at its PBEsol-relaxed geometry. Source: Alexandria, functional SCAN.

Total DFT energy (no corrections)   -22.30 eV/atom
SG   Pm-3m, No. 221
Crystal system   cubic
Formation energy from raw total energies   0.329 eV per atom

Cell: 4.134 4.134 4.134 Å, 90.00 90.00 90.00°
Site moments in Bohr magnetons follow the coordinates.
Atoms (fractional coordinates):
Cl 0.000 0.500 0.500  -0.07
Cl 0.500 0.000 0.500  -0.07
Cl 0.500 0.500 0.000  -0.07
Ta 0.000 0.000 0.000  1.61